Record 1
{"formula": "TaZn2P", "functional": "meta-GGA SCAN", "state": "PBEsol geometry", "lattice_angstrom": [[3.4728, 0.0000, 0.0000], [0.0000, 3.4728, 0.0000], [0.0000, 0.0000, 4.9538]], "species": ["Ta", "Zn", "Zn", "P"], "frac_coords": [[0.0000, 0.0000, 0.0000], [0.5000, 0.5000, 0.2515], [0.5000, 0.5000, 0.7485], [0.0000, 0.0000, 0.5000]], "volume_a3_per_atom": 14.94, "delta_e_f_ev_per_atom": 0.046, "e_tot_ev_per_atom": -25.96, "total_magnetization_mub_per_cell": 0.0, "spacegroup": "No. 123"}

Record 2
{"formula": "TaZn2P", "functional": "meta-GGA SCAN", "state": "PBEsol geometry", "lattice_angstrom": [[1.7280, -2.1526, 0.0000], [1.7280, 2.1526, 0.0000], [0.0000, 0.0000, 8.2390]], "species": ["Ta", "Zn", "Zn", "P"], "frac_coords": [[0.0000, 0.0000, 0.0000], [0.5000, 0.5000, 0.2562], [0.5000, 0.5000, 0.7438], [0.0000, 0.0000, 0.5000]], "volume_a3_per_atom": 15.32, "delta_e_f_ev_per_atom": 0.247, "e_tot_ev_per_atom": -25.76, "total_magnetization_mub_per_cell": 0.0, "spacegroup": "No. 65"}

Record 3
{"formula": "TaZn2P", "functional": "meta-GGA SCAN", "state": "PBEsol geometry", "lattice_angstrom": [[2.6884, 0.0000, 0.0000], [0.0000, 4.6834, 0.0000], [-0.9951, 0.0000, 4.6694]], "species": ["Ta", "Zn", "Zn", "P"], "frac_coords": [[0.0000, 0.0000, 0.0000], [0.3981, 0.5000, 0.7442], [0.6019, 0.5000, 0.2558], [0.5000, 0.0000, 0.5000]], "volume_a3_per_atom": 14.70, "delta_e_f_ev_per_atom": 0.041, "e_tot_ev_per_atom": -25.96, "total_magnetization_mub_per_cell": 0.0, "spacegroup": "No. 10"}

Record 4
{"formula": "TaZnP2", "functional": "meta-GGA SCAN", "state": "PBEsol geometry", "lattice_angstrom": [[-1.7161, 2.2566, 3.6765], [1.7161, -2.2566, 3.6765], [1.7161, 2.2566, -3.6765]], "species": ["Ta", "Zn", "P", "P"], "frac_coords": [[0.0000, 0.0000, 0.0000], [0.5000, 0.5000, 0.0000], [0.2714, 0.7714, 0.5000], [0.7286, 0.2286, 0.5000]], "volume_a3_per_atom": 14.24, "delta_e_f_ev_per_atom": -0.024, "e_tot_ev_per_atom": -25.25, "total_magnetization_mub_per_cell": 0.0, "spacegroup": "No. 71"}

Record 5
{"formula": "ZrTa2P", "functional": "meta-GGA SCAN", "state": "PBEsol geometry", "lattice_angstrom": [[4.6487, -1.6216, 0.0000], [4.6487, 1.6216, 0.0000], [-1.2113, 0.0000, 4.5370]], "species": ["Zr", "Ta", "Ta", "P"], "frac_coords": [[0.0000, 0.0000, 0.0000], [0.2279, 0.2279, 0.7192], [0.7721, 0.7721, 0.2808], [0.5000, 0.5000, 0.5000]], "volume_a3_per_atom": 17.10, "delta_e_f_ev_per_atom": -0.310, "e_tot_ev_per_atom": -43.88, "total_magnetization_mub_per_cell": 0.0, "spacegroup": "No. 12"}

Record 6
{"formula": "ZrTa2P", "functional": "meta-GGA SCAN", "state": "PBEsol geometry", "lattice_angstrom": [[3.3575, 0.0000, 0.0000], [0.0000, 3.3575, 0.0000], [0.0000, 0.0000, 6.0563]], "species": ["Zr", "Ta", "Ta", "P"], "frac_coords": [[0.0000, 0.0000, 0.0000], [0.0000, 0.0000, 0.4640], [0.5000, 0.5000, 0.7182], [0.5000, 0.5000, 0.2562]], "volume_a3_per_atom": 17.07, "delta_e_f_ev_per_atom": -0.408, "e_tot_ev_per_atom": -43.97, "total_magnetization_mub_per_cell": 0.0, "spacegroup": "No. 99"}